(1)
An optimized crystal structure of Cu2ReSi. Source: Alexandria, functional PBE.

As for the total energy: -6.32 eV per atom. The value obtained for the uncorrected formation energy is 198.6 meV/atom.

It has space group R-3m (No. 166, hexagonal axes), with a = 2.7114 Å, b = 2.7114 Å, c = 25.0099 Å, α = 90.00°, β = 90.00° and γ = 120.00°. The distinct sites, in fractional coordinates, are Cu at (0.0000, 0.0000, 0.2454), Re at (0.0000, 0.0000, 0.0000) and Si at (0.0000, 0.0000, 0.5000).

(2)
An optimized crystal structure of Cu3ReSi. Source: Alexandria, functional PBE.

For the offset from the most stable computed form, the calculation gives 0.542 eV/atom. As for the total energy: -4.33 eV per atom. The value obtained for the uncorrected formation energy is 1697.1 meV/atom.

It has space group Pm-3m (No. 221), with a = 4.647 Å, b = 4.647 Å, c = 4.647 Å, α = 90.00°, β = 90.00° and γ = 90.00°. The distinct sites, in fractional coordinates, are Cu at (0.000, 0.000, 0.500), Re at (0.000, 0.000, 0.000) and Si at (0.500, 0.500, 0.500).